A geometry-optimized HfInCl2 structure, computed with PBE.

Cell lengths 11.7573, 11.7573, 11.7573 Å; angles 15.88, 15.88, 15.88 degrees
With the nearest neighbours (Å) after each atom.
Sites, in units of the cell vectors:
Hf1 0.0000 0.0000 0.0000  6 Cl 2.61
In1 0.5000 0.5000 0.5000  6 In 3.25
Cl1 0.3856 0.3856 0.3856  3 Hf 2.61
Cl2 0.6144 0.6144 0.6144  3 Hf 2.61

## Properties
- raw formation energy (eV per atom) = -0.9393